! Tb2CeRh4 PBE optimized geometry; values from VASP
! Fermi-level density of states   2.436 states/eV per cell
! Energy of formation from the pure elements   -3.9 eV/f.u.
! Total magnetization   0.00 μB/f.u.
&SYSTEM
  ibrav = 0, nat = 7, ntyp = 3
/
ATOMIC_SPECIES
Rh 102.91 Rh.upf
Tb 158.93 Tb.upf
Ce 140.12 Ce.upf
ATOMIC_POSITIONS angstrom
Rh -2.054 0.118 4.710
Rh -2.747 -0.814 0.191
Rh -1.051 1.537 2.186
Rh -3.750 -2.233 2.716
Tb -3.685 0.882 2.093
Tb -1.116 -1.578 2.809
Ce 0.000 0.000 0.000
CELL_PARAMETERS angstrom
-1.164 4.401 2.011
-4.556 -0.301 -1.979
0.920 -4.796 4.870